Below is a relaxed structure of CePtAu, with properties calculated at the GGA-PBE level.

ΔE to the lowest computed polymorph, eV per atom: 0.000
Energy of formation from the pure elements, eV/atom: -0.8896

Cell: 3.7144 17.5533 4.0426 Å, 90.00 90.00 90.00°
Space group Cmcm (No. 63)
One atom of each set of equivalent atoms:
Ce: 0.0000 0.1094 0.2500 x4
Pt: 0.0000 0.4461 0.2500 x4
Au: 0.0000 0.2859 0.2500 x4



Below is a relaxed structure of Ce3AlSi6Pt2, with properties calculated at the GGA-PBE level.

Formation energy (no corrections), eV per atom: -0.46

Cell: 5.7074 5.7074 8.2222 Å, 90.00 90.00 120.00°
Space group P-3m1 (No. 164)
One atom of each set of equivalent atoms:
Ce: 0.0000 0.0000 0.0000 x1
Ce: 0.3333 0.6667 0.6209 x2
Al: 0.0000 0.0000 0.5000 x1
Si: 0.1899 0.3798 0.2846 x6
Pt: 0.3333 0.6667 0.0386 x2



Below is a relaxed structure of HoMg2In, with properties calculated at the GGA-PBE level.

Energy of formation from the pure elements, eV/atom: -0.1086

Cell: 7.2579 7.2579 7.2579 Å, 90.00 90.00 90.00°
Space group Fm-3m (No. 225)
One atom of each set of equivalent atoms:
Ho: 0.0000 0.0000 0.0000 x4
Mg: 0.2500 0.2500 0.2500 x8
In: 0.0000 0.0000 0.5000 x4



Below is a relaxed structure of LiCr2P, with properties calculated at the GGA-PBE level.

Energy of formation from the pure elements, eV/atom: 0.1531

Cell: 4.9450 7.7300 2.4914 Å, 90.00 108.71 90.00°
Space group C2/m (No. 12)
One atom of each set of equivalent atoms:
Li: 0.0000 0.0000 0.0000 x2
Cr: 0.2500 0.2500 0.5000 x4
P: 0.0000 0.5000 0.0000 x2



Below is a relaxed structure of MgTcPO2, with properties calculated at the GGA-PBE level.

ΔE to the lowest computed polymorph, eV per atom: 0.942
Formation energy (no corrections), eV per atom: 0.04

Cell: 3.7121 3.7121 5.5279 Å, 90.00 90.00 90.00°
Space group P4/mmm (No. 123)
One atom of each set of equivalent atoms:
Mg: 0.0000 0.0000 0.0000 x1
Tc: 0.5000 0.5000 0.5000 x1
P: 0.0000 0.0000 0.5000 x1
O: 0.0000 0.5000 0.0000 x2



Below is a relaxed structure of PmTm2Ir2, with properties calculated at the GGA-PBE level.

ΔE to the lowest computed polymorph, eV per atom: 0.031
Energy of formation from the pure elements, eV/atom: -0.7252

Cell: 5.4051 4.4256 10.5376 Å, 90.00 99.08 90.00°
Space group P2_1/m (No. 11)
One atom of each set of equivalent atoms:
Pm: 0.0866 0.2500 0.2844 x2
Tm: 0.2515 0.2500 0.9730 x2
Tm: 0.3952 0.2500 0.6140 x2
Ir: 0.1536 0.7500 0.4757 x2
Ir: 0.2780 0.7500 0.1370 x2



Below is a relaxed structure of LiCa2DyTe4, with properties calculated at the GGA-PBE level.

Formation energy (no corrections), eV per atom: -1.44

Cell: 7.6462 4.4460 7.6474 Å, 90.00 108.84 90.00°
Space group P2/m (No. 10)
One atom of each set of equivalent atoms:
Li: 0.0000 0.0000 0.0000 x1
Ca: 0.0000 0.5000 0.5000 x1
Ca: 0.5000 0.0000 0.5000 x1
Dy: 0.5000 0.5000 0.0000 x1
Te: 0.2474 0.5000 0.2396 x2
Te: 0.2509 0.0000 0.7624 x2



Below is a relaxed structure of Ba2RuSe, with properties calculated at the GGA-PBE level.

Formation energy (no corrections), eV per atom: 0.13

Cell: 7.5537 7.5537 7.5537 Å, 90.00 90.00 90.00°
Space group F-43m (No. 216)
One atom of each set of equivalent atoms:
Ba: 0.0000 0.0000 0.0000 x4
Ba: 0.2500 0.2500 0.2500 x4
Ru: 0.2500 0.2500 0.7500 x4
Se: 0.0000 0.0000 0.5000 x4



Question: Which formula does entry 2 have?
Answer: Ce3AlSi6Pt2



Question: Number 4 is which compound?
Answer: LiCr2P